Density functional theory data (PBE) for an optimized crystal structure of NiGeW3.

Summary:
polymorph energy (0 for the lowest one) = 0 meV per atom

Lattice parameters (Å, degrees): 4.4846 4.4846 4.4846 90.00 90.00 90.00
Space group Pm-3m (No. 221)
Inequivalent atoms, fractional coordinates:
Ni 0.0000 0.0000 0.0000 [1 per cell]
Ge 0.5000 0.5000 0.5000 [1 per cell]
W 0.0000 0.0000 0.5000 [3 per cell]

***

Density functional theory data (PBE) for an optimized crystal structure of RbNbP2.

Summary:
polymorph energy (0 for the lowest one) = 0 meV per atom

Lattice parameters (Å, degrees): 7.1463 7.1463 10.6059 90.00 90.00 90.00
Space group I-42d (No. 122)
Inequivalent atoms, fractional coordinates:
Rb 0.0000 0.0000 0.0000 [4 per cell]
Nb 0.0000 0.0000 0.5000 [4 per cell]
P 0.1144 0.2500 0.6250 [8 per cell]

***

Density functional theory data (PBE) for an optimized crystal structure of In2Pt2S.

Lattice parameters (Å, degrees): 7.2424 7.2424 3.6403 90.00 90.00 90.00
Space group P4/mbm (No. 127)
Inequivalent atoms, fractional coordinates:
In 0.1602 0.3398 0.0000 [4 per cell]
Pt 0.1414 0.6414 0.5000 [4 per cell]
S 0.0000 0.0000 0.5000 [2 per cell]

***

Calculated values (eV per atom) of total DFT energy (no corrections) for the records, taken in order: -8.2636, -5.7614, -4.5292.
Calculated values (Mg/m³) of mass density for the records, taken in order: 12.6, 2.9, 11.3.